Material: K3PdPb4
Method: DFT, GGA-PBE
State: optimized geometry

Unit cell a=6.5424 b=6.9002 c=13.2012 alpha=90.00 beta=90.00 gamma=90.00
Atoms (fractional coordinates):
K: 0.4624 0.5000 0.5000
K: 0.8286 0.5000 0.2496
K: 0.1714 0.0000 0.7496
K: 0.8286 0.5000 0.7504
Pb: 0.3371 0.5000 0.8714
Pb: 0.9752 0.2460 0.5000
Pb: 0.6629 0.0000 0.3714
Pb: 0.6629 0.0000 0.6286
Pb: 0.9752 0.7540 0.5000
Pb: 0.0248 0.2540 0.0000
Pd: 0.6756 0.5000 0.0000
Pb: 0.0248 0.7460 0.0000
Pd: 0.3244 0.0000 0.5000
Pb: 0.3371 0.5000 0.1286
K: 0.5376 0.0000 0.0000
K: 0.1714 0.0000 0.2504

theoretical density	5.9	g cm⁻³
formation enthalpy at 0 K	-0.2205	eV per atom
total energy	-50.2	eV per cell
Fermi-level density of states	3.8	states/eV/f.u.